A plane-wave DFT calculation with GGA+U was carried out for a relaxed structure of Li2NdCrF8.

Cell: 4.3780 4.9522 7.0558 Å, 95.42 90.09 92.51°
With the nearest neighbours (Å) after each atom.
Atoms (fractional coordinates):
Li: 0.0295 0.4689 0.3014  5 F 1.98-2.04
Li: 0.9705 0.5311 0.6986  5 F 1.98-2.04
Nd: 0.5000 0.0000 0.0000  6 F 2.26-2.40
Cr: 0.5000 0.0000 0.5000  6 F 1.94-1.99
F: 0.0965 0.2661 0.0499  1 Li 1.98
F: 0.1796 0.2591 0.5109  1 Cr 1.94, 2 Li 2.01-2.04
F: 0.3350 0.7754 0.2711  1 Cr 1.99, 1 Li 2.01
F: 0.3365 0.7869 0.7007  1 Cr 1.96, 1 Li 2.00
F: 0.6635 0.2131 0.2993  1 Cr 1.96, 1 Li 2.00
F: 0.6650 0.2246 0.7289  1 Cr 1.99, 1 Li 2.01
F: 0.8204 0.7409 0.4891  1 Cr 1.94, 2 Li 2.01-2.04
F: 0.9035 0.7339 0.9501  1 Li 1.98

Properties
Space group: P-1 (2)
Uncorrected energy in eV per cell: -69.39
Total magnetization in μB per formula unit: 3.00